DFT (GGA-PBE) results for crystalline Rb2SrIrBr6 at its relaxed geometry.

Computed properties:
- space-group type = I4/mmm
- VASP energy (hartree per atom) = -0.1262
- mass density (g/cm3) = 4.420

a b c (Å): 7.9522 7.9522 7.8836
angles (deg): 59.71 59.71 90.00
Site moments in Bohr magnetons follow the coordinates.
Atoms (fractional coordinates):
Br1 0.7710 0.7710 0.4580  0.01
Br2 0.2340 0.2340 0.0000  0.03
Br3 0.2340 0.7660 0.0000  0.03
Br4 0.7660 0.7660 0.0000  0.03
Br5 0.7660 0.2340 0.0000  0.03
Br6 0.2290 0.2290 0.5420  0.01
Rb1 0.7500 0.2500 0.5000  0.00
Rb2 0.2500 0.7500 0.5000  0.00
Ir1 0.0000 0.0000 0.0000  0.68
Sr1 0.5000 0.5000 0.0000  0.04